Record 1
# BaCoIr | the Alexandria database | GGA-PBE | relaxed
data_BaCoIr
_chemical_formula_sum 'Ba2 Co2 Ir2'
_cell_length_a 3.177
_cell_length_b 3.743
_cell_length_c 11.139
_cell_angle_alpha 90.00
_cell_angle_beta 90.00
_cell_angle_gamma 90.00
_symmetry_space_group_name_H-M 'I m m 2'
_symmetry_Int_Tables_number 44
loop_
_symmetry_equiv_pos_as_xyz
'x,y,z'
'-x,-y,z'
'-x,y,z'
'x,-y,z'
'x+1/2,y+1/2,z+1/2'
'-x+1/2,-y+1/2,z+1/2'
'-x+1/2,y+1/2,z+1/2'
'x+1/2,-y+1/2,z+1/2'
loop_
_atom_site_label
_atom_site_fract_x
_atom_site_fract_y
_atom_site_fract_z
_atom_site_occupancy
Ba1 0.000 0.000 0.000 1
Co1 0.000 0.000 0.733 1
Ir1 0.000 0.000 0.277 1
# - V: 66.2 Å³/f.u.
# - E_tot: -5.63 eV/atom
# - E above lowest polymorph: 273 meV per atom
# - Calculated density: 9.74 g cm⁻³
# - Formation enthalpy at 0 K: 0.34 eV/atom

Record 2
# BaCoIr | the Alexandria database | GGA-PBE | relaxed
data_BaCoIr
_chemical_formula_sum 'Ba1 Co1 Ir1'
_cell_length_a 4.1072
_cell_length_b 4.1072
_cell_length_c 4.9919
_cell_angle_alpha 90.00
_cell_angle_beta 90.00
_cell_angle_gamma 120.00
_symmetry_space_group_name_H-M 'P -6 m 2'
_symmetry_Int_Tables_number 187
_symmetry_space_group_name_Hall 'P -6 2'
loop_
_atom_site_label
_atom_site_fract_x
_atom_site_fract_y
_atom_site_fract_z
_atom_site_occupancy
Ba1 0.0000 0.0000 0.0000 1
Co1 0.3333 0.6667 0.5000 1
Ir1 0.6667 0.3333 0.5000 1
# - V: 72.9 Å³/f.u.
# - E_tot: -5.87 eV/atom
# - E above lowest polymorph: 34 meV per atom
# - Calculated density: 8.85 g cm⁻³
# - Formation enthalpy at 0 K: 0.10 eV/atom

Record 3
# BaCoIr2 | the Alexandria database | GGA-PBE | relaxed
data_BaCoIr2
_chemical_formula_sum 'Ba2 Co2 Ir4'
_cell_length_a 5.623
_cell_length_b 10.235
_cell_length_c 2.939
_cell_angle_alpha 90.00
_cell_angle_beta 118.75
_cell_angle_gamma 90.00
_symmetry_space_group_name_H-M 'C 1 2/m 1'
_symmetry_Int_Tables_number 12
loop_
_symmetry_equiv_pos_as_xyz
'x,y,z'
'-x,-y,-z'
'-x,y,-z'
'x,-y,z'
'x+1/2,y+1/2,z'
'-x+1/2,-y+1/2,-z'
'-x+1/2,y+1/2,-z'
'x+1/2,-y+1/2,z'
loop_
_atom_site_label
_atom_site_fract_x
_atom_site_fract_y
_atom_site_fract_z
_atom_site_occupancy
Ba1 0.000 0.000 0.000 1
Co1 0.000 0.500 0.000 1
Ir1 0.250 0.250 0.500 1
# - V: 74.1 Å³/f.u.
# - E_tot: -5.80 eV/atom
# - Calculated density: 13.01 g cm⁻³
# - Formation enthalpy at 0 K: 0.89 eV/atom

Record 4
# BaCo2Ir | the Alexandria database | GGA-PBE | relaxed
data_BaCo2Ir
_chemical_formula_sum 'Ba4 Co8 Ir4'
_cell_length_a 6.609
_cell_length_b 6.609
_cell_length_c 6.609
_cell_angle_alpha 90.00
_cell_angle_beta 90.00
_cell_angle_gamma 90.00
_symmetry_space_group_name_H-M 'F m -3 m'
_symmetry_Int_Tables_number 225
_symmetry_space_group_name_Hall '-F 4 2 3'
loop_
_atom_site_label
_atom_site_fract_x
_atom_site_fract_y
_atom_site_fract_z
_atom_site_occupancy
Ba1 0.000 0.000 0.000 1
Co1 0.250 0.250 0.250 1
Ir1 0.000 0.000 0.500 1
# - V: 72.2 Å³/f.u.
# - E_tot: -5.37 eV/atom
# - Calculated density: 10.30 g cm⁻³
# - Formation enthalpy at 0 K: 0.88 eV/atom